Computed, not measured: a relaxed PaFe2TeO8 crystal at the GGA+U level of DFT.

Lattice parameters (Å, degrees): 6.834 6.834 6.781 90.00 90.00 90.00
Space group I-4m2 (No. 119)
Inequivalent atoms, fractional coordinates:
Pa  0.000  0.000  0.000
Fe  0.000  0.000  0.500
Fe  0.000  0.500  0.250
Te  0.000  0.500  0.750
O  0.000  0.196  0.694
O  0.000  0.314  0.045

* crystal system: tetragonal
* magnetic moment: 18.30 μB per cell
* energy: -169.85 eV for the cell shown
* V: 13.2 Å³/atom